The following is a DFT calculation (PBE-GGA) of crystalline LaSmEr3Sc at its relaxed geometry.

a = 5.0014 Å, b = 14.9209 Å, c = 10.0155 Å
α = 90.00°, β = 90.00°, γ = 90.00°
With the nearest neighbours (Å) after each atom.
Space group Cmcm (No. 63)
Inequivalent atoms, fractional coordinates:
La (0.0000, 0.0019, 0.2500)  4 Sm 3.54, 2 Sc 3.54, 6 Er 3.55-3.60
Sm (0.0000, 0.5000, 0.0000)  4 La 3.54, 6 Er 3.56-3.58, 2 Sc 3.56
Er (0.0000, 0.1696, 0.5008)  5 Er 3.45-3.53, 3 Sc 3.46-3.54, 2 La 3.55-3.57, 2 Sm 3.56
Er (0.0000, 0.3283, 0.2500)  2 Sc 3.44, 6 Er 3.45-3.53, 2 Sm 3.58, 2 La 3.60
Sc (0.0000, 0.3300, 0.7500)  8 Er 3.44-3.54, 2 La 3.54, 2 Sm 3.56

Values from the calculation:
**Energy relative to the elements**: 0.050 eV per atom


The following is a DFT calculation (PBE-GGA) of crystalline Be2RuRh at its relaxed geometry.

a = 2.6433 Å, b = 3.5338 Å, c = 4.9284 Å
α = 90.00°, β = 93.64°, γ = 90.00°
With the nearest neighbours (Å) after each atom.
Space group P2/m (No. 10)
Inequivalent atoms, fractional coordinates:
Be (0.1079, 0.0000, 0.2249)  1 Be 2.25, 2 Rh 2.26, 2 Ru 2.36
Ru (0.5000, 0.5000, 0.0000)  8 Be 2.36-2.59, 2 Ru 2.64
Rh (0.0000, 0.5000, 0.5000)  4 Be 2.26

Values from the calculation:
**Energy relative to the elements**: -0.181 eV per atom


The following is a DFT calculation (PBE-GGA) of crystalline Ca8GaRh2 at its relaxed geometry.

a = 8.9863 Å, b = 13.2486 Å, c = 5.7312 Å
α = 90.00°, β = 104.57°, γ = 90.00°
With the nearest neighbours (Å) after each atom.
Space group Cm (No. 8)
Inequivalent atoms, fractional coordinates:
Ca (0.0000, 0.0000, 0.0000)  2 Rh 3.03, 1 Ga 3.29
Ca (0.0716, 0.3663, 0.7871)  2 Rh 2.96-2.97
Ca (0.1793, 0.1338, 0.6214)  2 Rh 2.95-2.96
Ca (0.2512, 0.5000, 0.4002)  2 Rh 3.03, 1 Ga 3.31
Ca (0.3764, 0.2391, 0.2016)  2 Rh 3.04, 1 Ga 3.19
Ga (0.3781, 0.0000, 0.1434)  8 Ca 3.19-3.55
Rh (0.3749, 0.3158, 0.7010)  8 Ca 2.95-3.04

Values from the calculation:
**Energy relative to the elements**: -0.270 eV per atom


The following is a DFT calculation (PBE-GGA) of crystalline TaBiPt at its relaxed geometry.

a = 8.9271 Å, b = 4.0199 Å, c = 7.6836 Å
α = 90.00°, β = 101.50°, γ = 90.00°
With the nearest neighbours (Å) after each atom.
Space group C2/m (No. 12)
Inequivalent atoms, fractional coordinates:
Ta (0.0829, 0.0000, 0.1645)  1 Ta 2.66, 5 Pt 2.76-2.83, 1 Bi 2.95
Bi (0.1763, 0.0000, 0.6494)  3 Ta 2.95-3.08, 2 Pt 2.99
Pt (0.1320, 0.5000, 0.9234)  5 Ta 2.76-2.83, 3 Pt 2.84-2.98, 2 Bi 2.99

Values from the calculation:
**Energy relative to the elements**: -0.130 eV per atom
**Energy above the most stable polymorph in this dataset**: 2.191 kcal/mol of atoms


The following is a DFT calculation (PBE-GGA) of crystalline HoTeF at its relaxed geometry.

a = 6.0396 Å, b = 4.1827 Å, c = 6.6399 Å
α = 90.00°, β = 116.97°, γ = 90.00°
With the nearest neighbours (Å) after each atom.
Space group P2_1/m (No. 11)
Inequivalent atoms, fractional coordinates:
Ho (0.1406, 0.2500, 0.2802)  3 F 2.31-2.34
Te (0.3390, 0.7500, 0.6789)  4 Ho 3.03-3.15, 1 F 3.34
F (0.0586, 0.7500, 0.1145)  3 Ho 2.31-2.34, 2 F 2.49

Values from the calculation:
**Formation energy from raw total energies**: -2.5920 eV/atom
**Energy above the most stable polymorph in this dataset**: 0.000 kcal/mol of atoms


The following is a DFT calculation (PBE-GGA) of crystalline Sm2Cd2Hg3 at its relaxed geometry.

a = 5.0633 Å, b = 20.5086 Å, c = 3.4262 Å
α = 90.00°, β = 90.00°, γ = 90.00°
With the nearest neighbours (Å) after each atom.
Space group Cmmm (No. 65)
Inequivalent atoms, fractional coordinates:
Sm (0.0000, 0.1484, 0.0000)  8 Hg 3.33-3.49, 2 Sm 3.43, 4 Cd 3.44
Cd (0.0000, 0.4284, 0.5000)  3 Hg 2.89-2.93, 1 Cd 2.94
Hg (0.0000, 0.0000, 0.5000)  4 Cd 2.93
Hg (0.0000, 0.2875, 0.5000)  1 Cd 2.89, 2 Hg 2.96

Values from the calculation:
**Energy relative to the elements**: -0.313 eV per atom


The following is a DFT calculation (PBE-GGA) of crystalline ZnTe2Pt at its relaxed geometry.

a = 4.2710 Å, b = 4.5494 Å, c = 9.7623 Å
α = 90.00°, β = 90.00°, γ = 90.00°
With the nearest neighbours (Å) after each atom.
Space group Cmm2 (No. 35)
Inequivalent atoms, fractional coordinates:
Zn (0.0000, 0.0000, 0.0000)  4 Pt 2.58-2.69
Te (0.0000, 0.0000, 0.6342)  4 Pt 3.01-3.11, 4 Te 3.12
Te (0.0000, 0.5000, 0.2521)  4 Te 3.12, 4 Zn 3.26-3.35
Pt (0.0000, 0.5000, 0.8521)  4 Zn 2.58-2.69

Values from the calculation:
**Formation energy from raw total energies**: 0.0202 eV/atom


The following is a DFT calculation (PBE-GGA) of crystalline PaCoPN at its relaxed geometry.

a = 3.8255 Å, b = 3.8255 Å, c = 7.8185 Å
α = 90.00°, β = 90.00°, γ = 90.00°
With the nearest neighbours (Å) after each atom.
Space group P4/nmm (No. 129, origin choice 2)
Inequivalent atoms, fractional coordinates:
Pa (0.2500, 0.2500, 0.1575)  4 N 2.27
Co (0.2500, 0.7500, 0.5000)  4 P 2.23
P (0.2500, 0.2500, 0.6474)  4 Co 2.23
N (0.2500, 0.7500, 0.0000)  4 Pa 2.27

Values from the calculation:
**Formation energy from raw total energies**: -1.3390 eV/atom


The following is a DFT calculation (PBE-GGA) of crystalline NaOs2RuSe at its relaxed geometry.

a = 4.5203 Å, b = 4.5203 Å, c = 4.7536 Å
α = 90.00°, β = 90.00°, γ = 90.00°
With the nearest neighbours (Å) after each atom.
Space group P4/mmm (No. 123)
Inequivalent atoms, fractional coordinates:
Na (0.0000, 0.0000, 0.0000)  2 Se 2.38
Os (0.0000, 0.5000, 0.5000)  2 Se 2.26
Ru (0.5000, 0.5000, 0.0000)  4 Na 3.20, 8 Os 3.28
Se (0.0000, 0.0000, 0.5000)  4 Os 2.26, 2 Na 2.38

Values from the calculation:
**Formation energy from raw total energies**: 1.6814 eV/atom


The following is a DFT calculation (PBE-GGA) of crystalline SrBeCd at its relaxed geometry.

a = 7.0519 Å, b = 7.0519 Å, c = 7.0519 Å
α = 90.00°, β = 90.00°, γ = 90.00°
With the nearest neighbours (Å) after each atom.
Space group F-43m (No. 216)
Inequivalent atoms, fractional coordinates:
Sr (0.0000, 0.0000, 0.0000)  4 Cd 3.05
Be (0.0000, 0.0000, 0.5000)  4 Cd 3.05
Cd (0.2500, 0.2500, 0.7500)  4 Be 3.05, 4 Sr 3.05

Values from the calculation:
**Energy relative to the elements**: 0.500 eV per atom
**Energy above the most stable polymorph in this dataset**: 9.076 kcal/mol of atoms


The following is a DFT calculation (PBE-GGA) of crystalline LiCd6HgPb at its relaxed geometry.

a = 6.0119 Å, b = 9.7695 Å, c = 16.6941 Å
α = 90.00°, β = 90.00°, γ = 90.00°
With the nearest neighbours (Å) after each atom.
Space group Imma (No. 74)
Inequivalent atoms, fractional coordinates:
Li (0.2500, 0.2500, 0.2500)  6 Cd 2.83-3.03, 2 Li 3.01
Cd (0.0000, 0.2500, 0.0926)  4 Cd 3.01, 1 Pb 3.02, 2 Li 3.03
Cd (0.0000, 0.2500, 0.7047)  6 Cd 3.03-3.37
Cd (0.2494, 0.0073, 0.3426)  1 Li 2.83, 5 Cd 3.00-3.09, 1 Hg 3.03, 1 Pb 3.15
Hg (0.0000, 0.0000, 0.5000)  4 Cd 3.03
Pb (0.0000, 0.2500, 0.9118)  5 Cd 3.02-3.15

Values from the calculation:
**Energy relative to the elements**: 0.050 eV per atom


The following is a DFT calculation (PBE-GGA) of crystalline BAsF2 at its relaxed geometry.

a = 2.8182 Å, b = 2.8182 Å, c = 23.5958 Å
α = 90.00°, β = 90.00°, γ = 120.00°
With the nearest neighbours (Å) after each atom.
Space group R-3m (No. 166, hexagonal axes)
Inequivalent atoms, fractional coordinates:
B (0.0000, 0.0000, 0.0000)  6 F 2.60, 6 B 2.82
As (0.0000, 0.0000, 0.5000)  2 F 1.91
F (0.0000, 0.0000, 0.4192)  1 As 1.91

Values from the calculation:
**Formation energy from raw total energies**: -0.0520 eV/atom
**Energy above the most stable polymorph in this dataset**: 15.807 kcal/mol of atoms


Magnetization for the records above, in order: 0.000; 0.000; 0.000; 0.000; 0.000; 0.001; 0.000; 0.112; 0.399; 0.000; 0.000; 0.057 μB/atom
Mass density for the records above, in order: 7.43; 8.02; 3.00; 14.38; 6.92; 10.52; 9.03; 9.72; 9.98; 3.96; 7.38; 3.80 g/cm³